BeRu2Cl, optimized geometry, DFT PBEsol; energy above the lowest structure with this stoichiometry = 0 meV per atom; total magnetic moment = 0.00 μB per formula unit
1.0
-1.966 0.005 1.993
-0.587 -2.356 1.394
4.425 0.979 6.329
Be Ru Cl
1 2 1
Cartesian
0.859 -0.712 4.781
4.367 0.959 6.271
1.311 -1.060 7.195
0.698 -0.266 2.655